# Pu8BiPt5, relaxed, DFT GGA-PBE
# **E_form**: -583 meV/atom
# **E**: -11.21 eV/atom
data_Pu8BiPt5
_space_group_name_H-M_alt 'I -4'
_space_group_IT_number 82
_cell_length_a 8.867
_cell_length_b 8.867
_cell_length_c 8.778
_cell_angle_alpha 90.00
_cell_angle_beta 90.00
_cell_angle_gamma 90.00
loop_
_space_group_symop_operation_xyz
'x,y,z'
'y,-x,-z'
'-x,-y,z'
'-y,x,-z'
'x+1/2,y+1/2,z+1/2'
'y+1/2,-x+1/2,-z+1/2'
'-x+1/2,-y+1/2,z+1/2'
'-y+1/2,x+1/2,-z+1/2'
loop_
_atom_site_label
_atom_site_fract_x
_atom_site_fract_y
_atom_site_fract_z
Pu1 0.073 0.342 0.057
Pu2 0.078 0.187 0.686
Bi1 0.000 0.000 0.000
Pt1 0.000 0.500 0.750
Pt2 0.129 0.245 0.368